## CsV2SnO8 (GGA+U)

Data for a relaxed structure of CsV2SnO8.

Cell: 5.6608 5.6608 8.5240 Å, 90.00 90.00 120.00°
Space group P-3 (No. 147)
Symmetry-distinct sites (fractional):
Cs: 0.0000 0.0000 0.0000 [1 per cell]
V: 0.3333 0.6667 0.7052 [2 per cell]
Sn: 0.0000 0.0000 0.5000 [1 per cell]
O: 0.1090 0.3303 0.6441 [6 per cell]
O: 0.3333 0.6667 0.9022 [2 per cell]

V ... 237 Å³ per cell
DFT total energy ... -6.6481 eV per atom